Density functional theory data (GGA-PBE) for a geometry-optimized CrGaRu2 structure.

Computed properties:
N(E_F) ... 6.564 states/eV per cell
VASP energy ... -0.272 hartree per atom
Formation energy ... 400 meV/atom
Volume ... 15.2 Å³ per atom

Cell lengths 2.6512, 4.3255, 10.5737 Å; angles 90.00, 90.00, 90.00 degrees
Last column: nearest neighbours and their distance in Å.
Space group Immm (No. 71)
One atom of each set of equivalent atoms:
1 Cr 0.0000 0.0000 0.0000 (multiplicity 2)  2 Ru 2.25
2 Ga 0.0000 0.0000 0.5000 (multiplicity 2)  4 Cr 2.54, 2 Ga 2.65
3 Ru 0.0000 0.0000 0.2123 (multiplicity 4)  1 Cr 2.25